Here is a relaxed CrSbTe2O crystal from Alexandria. Energies are from GGA+U.

Lattice parameters (Å, degrees): 4.8704 4.8704 4.7772 90.00 90.00 90.00
Fractional positions:
1 Cr 0.0000 0.0000 0.0000
2 Sb 0.5000 0.5000 0.0000
3 Te 0.0000 0.5000 0.5000
4 Te 0.5000 0.0000 0.5000
5 O 0.5000 0.5000 0.5000

Values from the calculation:
Its space-group type is P4/mmm. The total energy comes out at -4.42 eV per atom.